# 1
Here is NaCa3Hg after structural relaxation from Alexandria. Energies are from PBE.

abc: 5.965 5.965 5.965
angles: 90.00 90.00 90.00
Sites, in units of the cell vectors:
Na: 0.000 0.000 0.000
Ca: 0.000 0.500 0.500
Ca: 0.500 0.000 0.500
Ca: 0.500 0.500 0.000
Hg: 0.500 0.500 0.500

Computed properties:
The total energy is -0.120 Ry per atom. The value obtained for the magnetization is 0.000 μB per cell. Its space group is Pm-3m, No. 221. Its calculated formation energy is -0.10 eV per atom.

=====

# 2
Here is HfSi2Os after structural relaxation from Alexandria. Energies are from PBE.

abc: 4.402 4.402 4.402
angles: 60.00 60.00 60.00
Sites, in units of the cell vectors:
Hf: 0.000 0.000 0.000
Si: 0.250 0.250 0.250
Si: 0.750 0.750 0.750
Os: 0.500 0.500 0.500

Computed properties:
The total energy is -0.601 Ry per atom. The value obtained for the magnetization is 0.000 μB per cell. The calculation puts the formation energy (no corrections) at -0.17 eV/atom. Its space group is Fm-3m, No. 225.

=====

# 3
Here is Ga2AgAu7 after structural relaxation from Alexandria. Energies are from PBE.

abc: 7.617 7.617 4.421
angles: 90.00 90.00 121.00
Sites, in units of the cell vectors:
Ga: 0.196 0.804 0.000
Ga: 0.804 0.196 0.000
Ag: 0.500 0.500 0.500
Au: 0.000 0.000 0.000
Au: 0.202 0.424 0.000
Au: 0.289 0.711 0.500
Au: 0.424 0.202 0.000
Au: 0.576 0.798 0.000
Au: 0.711 0.289 0.500
Au: 0.798 0.576 0.000

Computed properties:
The total energy is -0.233 Ry per atom. The value obtained for the magnetization is 0.000 μB per cell. Its space group is Cmmm, No. 65. Its calculated formation energy is 0.02 eV per atom.

=====

# 4
Here is Ac2HgAsPd6 after structural relaxation from Alexandria. Energies are from PBE.

abc: 6.642 6.642 8.841
angles: 127.53 127.53 49.95
Sites, in units of the cell vectors:
Ac: 0.246 0.246 0.223
Ac: 0.754 0.754 0.777
Hg: 0.500 0.500 0.000
As: 0.000 0.000 0.500
Pd: 0.240 0.742 0.257
Pd: 0.250 0.250 0.588
Pd: 0.258 0.760 0.743
Pd: 0.742 0.240 0.257
Pd: 0.750 0.750 0.412
Pd: 0.760 0.258 0.743

Computed properties:
The total energy is -0.374 Ry per atom. The value obtained for the magnetization is 0.000 μB per cell. Its space group is C2/m, No. 12. Its calculated formation energy is -0.66 eV per atom.

=====

# 5
Here is NdZnGaPt3 after structural relaxation from Alexandria. Energies are from PBE.

abc: 6.951 6.951 5.703
angles: 90.00 90.00 121.22
Sites, in units of the cell vectors:
Nd: 0.206 0.794 0.750
Nd: 0.794 0.206 0.250
Zn: 0.455 0.545 0.750
Zn: 0.545 0.455 0.250
Ga: 0.129 0.871 0.250
Ga: 0.871 0.129 0.750
Pt: 0.208 0.208 0.000
Pt: 0.208 0.208 0.500
Pt: 0.329 0.671 0.250
Pt: 0.671 0.329 0.750
Pt: 0.792 0.792 0.000
Pt: 0.792 0.792 0.500

Computed properties:
The total energy is -0.380 Ry per atom. The value obtained for the magnetization is 0.000 μB per cell. Its space group is Cmcm, No. 63. Its calculated formation energy is -0.64 eV per atom.

=====

# 6
Here is Na3Zr3CrTe8 after structural relaxation from Alexandria. Energies are from PBE.

abc: 9.181 9.181 9.181
angles: 52.52 52.52 52.52
Sites, in units of the cell vectors:
Na: 0.000 0.500 0.500
Na: 0.500 0.000 0.500
Na: 0.500 0.500 0.000
Zr: 0.000 0.000 0.500
Zr: 0.000 0.500 0.000
Zr: 0.500 0.000 0.000
Cr: 0.500 0.500 0.500
Te: 0.242 0.242 0.242
Te: 0.251 0.732 0.732
Te: 0.268 0.268 0.749
Te: 0.268 0.749 0.268
Te: 0.732 0.251 0.732
Te: 0.732 0.732 0.251
Te: 0.749 0.268 0.268
Te: 0.758 0.758 0.758

Computed properties:
The total energy is -0.374 Ry per atom. The value obtained for the magnetization is 3.188 μB per cell. The calculation puts the formation energy (no corrections) at -0.79 eV/atom. Its space group is R-3m, No. 166.

=====

# 7
Here is Ho3Hg2Pd3 after structural relaxation from Alexandria. Energies are from PBE.

abc: 8.462 8.462 5.804
angles: 90.00 90.00 120.00
Sites, in units of the cell vectors:
Ho: 0.000 0.280 0.250
Ho: 0.000 0.720 0.750
Ho: 0.280 0.000 0.250
Ho: 0.280 0.280 0.750
Ho: 0.720 0.000 0.750
Ho: 0.720 0.720 0.250
Hg: 0.333 0.667 0.000
Hg: 0.333 0.667 0.500
Hg: 0.667 0.333 0.000
Hg: 0.667 0.333 0.500
Pd: 0.000 0.375 0.750
Pd: 0.000 0.625 0.250
Pd: 0.375 0.000 0.750
Pd: 0.375 0.375 0.250
Pd: 0.625 0.000 0.250
Pd: 0.625 0.625 0.750

Computed properties:
The total energy is -0.323 Ry per atom. The value obtained for the magnetization is 0.000 μB per cell. Its space group is P6_3/mcm, No. 193. Its calculated formation energy is -0.65 eV per atom.

=====

# 8
Here is Ac2DyScSe6 after structural relaxation from Alexandria. Energies are from PBE.

abc: 7.075 7.789 12.527
angles: 90.00 123.85 90.00
Sites, in units of the cell vectors:
Ac: 0.213 0.097 0.249
Ac: 0.213 0.403 0.749
Ac: 0.787 0.597 0.251
Ac: 0.787 0.903 0.751
Dy: 0.500 0.000 0.000
Dy: 0.500 0.500 0.500
Sc: 0.000 0.000 0.500
Sc: 0.000 0.500 0.000
Se: 0.114 0.193 0.941
Se: 0.114 0.307 0.441
Se: 0.257 0.683 0.942
Se: 0.257 0.817 0.442
Se: 0.363 0.030 0.743
Se: 0.363 0.470 0.243
Se: 0.637 0.530 0.757
Se: 0.637 0.970 0.257
Se: 0.743 0.183 0.558
Se: 0.743 0.317 0.058
Se: 0.886 0.693 0.559
Se: 0.886 0.807 0.059

Computed properties:
The total energy is -0.437 Ry per atom. The value obtained for the magnetization is 0.000 μB per cell. The calculation puts the formation energy (no corrections) at -1.94 eV/atom. Its space group is P2_1/c, No. 14.